Material: Li5AuO4
Method: DFT, PBE
State: optimized geometry

a = 5.361 Å, b = 5.361 Å, c = 4.771 Å
α = 84.33°, β = 84.33°, γ = 127.07°
Atoms (fractional coordinates):
Li 0.791 0.209 0.500
Li 0.282 0.718 0.000
Li 0.718 0.282 0.000
Li 0.209 0.791 0.500
Li 0.000 0.000 0.000
Au 0.500 0.500 0.500
O 0.597 0.892 0.250
O 0.108 0.403 0.750
O 0.892 0.597 0.250
O 0.403 0.108 0.750

Computed properties:
The value obtained for the total moment is 0.0000 μB/atom. Its symmetry is C2/m, No. 12. The energy is -4.788 eV/atom. The value obtained for the energy above the lowest structure with this stoichiometry is 0 meV/atom.

Material: Li2AuO
Method: DFT, PBE
State: optimized geometry

a = 2.900 Å, b = 5.075 Å, c = 7.109 Å
α = 103.47°, β = 89.98°, γ = 90.00°
Atoms (fractional coordinates):
Li 0.778 0.635 0.428
Li 0.278 0.135 0.429
Li 0.278 0.551 0.675
Li 0.778 0.051 0.675
Au 0.778 0.843 0.052
Au 0.278 0.343 0.052
O 0.278 0.843 0.551
O 0.778 0.343 0.552

Computed properties:
The value obtained for the total moment is 0.0007 μB/atom. Its symmetry is C2/m, No. 12. The energy is -4.199 eV/atom.

Material: Li12Au3O5
Method: DFT, PBE
State: optimized geometry

a = 11.186 Å, b = 11.186 Å, c = 11.186 Å
α = 109.47°, β = 109.47°, γ = 109.47°
Atoms (fractional coordinates):
Au 0.750 0.375 0.125
Au 0.875 0.750 0.125
Au 0.375 0.750 0.625
Au 0.250 0.125 0.375
Au 0.875 0.125 0.250
Au 0.375 0.625 0.250
Au 0.625 0.375 0.750
Au 0.125 0.875 0.750
Au 0.750 0.875 0.625
Au 0.625 0.250 0.375
Au 0.125 0.250 0.875
Au 0.250 0.625 0.875
O 0.125 0.375 0.250
O 0.000 0.500 0.000
O 0.000 0.000 0.000
O 0.375 0.250 0.125
O 0.500 0.000 0.500
O 0.500 0.500 0.000
O 0.125 0.750 0.375
O 0.750 0.125 0.875
O 0.750 0.625 0.375
O 0.375 0.125 0.750
O 0.625 0.875 0.250
O 0.500 0.500 0.500
O 0.500 0.000 0.000
O 0.000 0.000 0.500
O 0.250 0.375 0.625
O 0.250 0.875 0.125
O 0.000 0.500 0.500
O 0.875 0.250 0.625
O 0.625 0.750 0.875
O 0.875 0.625 0.750
Li 0.678 0.097 0.996
Li 0.318 0.496 0.399
Li 0.004 0.403 0.322
Li 0.496 0.178 0.097
Li 0.582 0.678 0.682
Li 0.004 0.601 0.182
Li 0.318 0.822 0.418
Li 0.101 0.918 0.097
Li 0.601 0.004 0.682
Li 0.678 0.582 0.182
Li 0.822 0.504 0.403
Li 0.818 0.899 0.996
Li 0.097 0.678 0.496
Li 0.403 0.399 0.082
Li 0.082 0.899 0.403
Li 0.418 0.097 0.601
Li 0.082 0.182 0.178
Li 0.504 0.682 0.101
Li 0.818 0.918 0.322
Li 0.097 0.418 0.101
Li 0.403 0.004 0.822
Li 0.601 0.597 0.418
Li 0.899 0.818 0.496
Li 0.822 0.318 0.918
Li 0.399 0.403 0.582
Li 0.101 0.182 0.504
Li 0.178 0.682 0.082
Li 0.182 0.082 0.678
Li 0.597 0.996 0.178
Li 0.903 0.582 0.899
Li 0.496 0.318 0.899
Li 0.582 0.903 0.399
Li 0.918 0.818 0.822
Li 0.918 0.101 0.597
Li 0.903 0.322 0.504
Li 0.182 0.101 0.004
Li 0.597 0.601 0.918
Li 0.399 0.996 0.318
Li 0.322 0.418 0.818
Li 0.178 0.496 0.597
Li 0.899 0.082 0.903
Li 0.682 0.178 0.582
Li 0.504 0.822 0.903
Li 0.996 0.399 0.818
Li 0.418 0.322 0.318
Li 0.996 0.597 0.678
Li 0.682 0.504 0.601
Li 0.322 0.903 0.004

Computed properties:
The value obtained for the total moment is 0.0000 μB/atom. Its symmetry is Ia-3d, No. 230. The energy is -4.081 eV/atom.

Material: LiAuO
Method: DFT, PBE
State: optimized geometry

a = 3.773 Å, b = 6.365 Å, c = 6.365 Å
α = 90.00°, β = 90.00°, γ = 90.00°
Atoms (fractional coordinates):
O 0.000 0.500 0.767
O 0.500 0.233 0.500
O 0.500 0.767 0.500
O 0.000 0.500 0.233
Li 0.000 0.708 0.500
Li 0.500 0.500 0.708
Li 0.500 0.500 0.292
Li 0.000 0.292 0.500
Au 0.000 0.766 0.000
Au 0.500 0.000 0.766
Au 0.500 0.000 0.234
Au 0.000 0.234 0.000

Computed properties:
The value obtained for the total moment is 0.0006 μB/atom. Its symmetry is P4_2/mmc, No. 131. The energy is -4.172 eV/atom.

Material: Li3AuO3
Method: DFT, PBE
State: optimized geometry

a = 3.937 Å, b = 7.252 Å, c = 7.252 Å
α = 120.00°, β = 90.00°, γ = 90.00°
Site moments in Bohr magnetons follow the coordinates.
Atoms (fractional coordinates):
Li 0.750 0.860 0.162  0.01
Li 0.750 0.301 0.140  0.01
Li 0.750 0.838 0.699  0.01
Li 0.250 0.140 0.838  0.01
Li 0.250 0.699 0.860  0.01
Li 0.250 0.162 0.301  0.01
Au 0.750 0.333 0.667  0.50
Au 0.250 0.667 0.333  0.50
O 0.750 0.183 0.344  0.27
O 0.750 0.161 0.817  0.27
O 0.750 0.656 0.839  0.27
O 0.250 0.817 0.656  0.27
O 0.250 0.839 0.183  0.27
O 0.250 0.344 0.161  0.27

Computed properties:
The value obtained for the total moment is 0.2138 μB/atom. Its symmetry is P6_3/m, No. 176. The energy is -4.463 eV/atom.

Material: Li4Au2O
Method: DFT, PBE
State: optimized geometry

a = 3.766 Å, b = 3.766 Å, c = 7.580 Å
α = 75.62°, β = 75.62°, γ = 90.00°
Atoms (fractional coordinates):
Au 0.318 0.318 0.363
Au 0.682 0.682 0.637
O 0.000 0.000 0.000
Li 0.133 0.133 0.733
Li 0.867 0.867 0.267
Li 0.000 0.500 0.000
Li 0.500 0.000 0.000

Computed properties:
The value obtained for the total moment is 0.0000 μB/atom. Its symmetry is I4/mmm, No. 139. The energy is -3.708 eV/atom.

no.,formation energy (no corrections) (eV per atom)
1,-1.52
2,-1.18
3,-1.20
4,-0.79
5,-1.05
6,-0.97